Entry from Alexandria: crystalline SbPRh2 at its relaxed geometry (GGA-PBEsol).

a = 3.215 Å, b = 4.344 Å, c = 4.344 Å
α = 90.00°, β = 90.00°, γ = 90.00°
Positions (direct):
P 0.500 0.000 0.000
Rh 0.000 0.000 0.500
Rh 0.000 0.500 0.000
Sb 0.500 0.500 0.500

Computed properties:
energy relative to the elements, uncorrected	-0.101	eV per atom
mass density	9.81	g cm⁻³
V	15.17	Å³/atom
electronic total energy	-6.757	eV/atom
density of states at the Fermi level	3.8	states/eV/cell